[1]
Compound: Nb3ZnIn
Source: Alexandria
Functional: meta-GGA SCAN
Structure: single point on PBEsol structure

## Properties
total DFT energy (no corrections)	-28.430	eV/atom
ΔE_f	828	meV per atom
D(E_F)	0.398	states/eV/atom
total magnetic moment	0.00	μB per formula unit

abc: 4.6792 4.6792 4.6792
angles: 90.00 90.00 90.00
With the nearest neighbours (Å) after each atom.
Space group Pm-3m (No. 221)
One atom of each set of equivalent atoms:
Nb 0.0000 0.0000 0.5000  2 Zn 2.34
Zn 0.0000 0.0000 0.0000  6 Nb 2.34
In 0.5000 0.5000 0.5000  12 Nb 3.31


[2]
Compound: ReAg2Se
Source: Alexandria
Functional: meta-GGA SCAN
Structure: single point on PBEsol structure

## Properties
total DFT energy (no corrections)	-38.191	eV/atom
D(E_F)	0.489	states/eV/atom
total magnetic moment	0.00	μB per formula unit
formation energy from raw total energies	0.2869	eV per atom

abc: 2.9718 2.9718 27.1005
angles: 90.00 90.00 120.00
With the nearest neighbours (Å) after each atom.
Space group R3m (No. 160, hexagonal axes)
One atom of each set of equivalent atoms:
Re 0.0000 0.0000 0.0000  3 Se 2.43
Ag 0.0000 0.0000 0.5008  9 Ag 2.83-2.97
Ag 0.0000 0.0000 0.7513  9 Ag 2.83-2.97, 3 Re 2.86
Se 0.0000 0.0000 0.2696  3 Re 2.43


[3]
Compound: FeTcRu2
Source: Alexandria
Functional: meta-GGA SCAN
Structure: single point on PBEsol structure

## Properties
offset from the most stable computed form	0.34	eV per formula unit
total DFT energy (no corrections)	-30.499	eV/atom
ΔE_f	212	meV per atom
D(E_F)	0.951	states/eV/atom
total magnetic moment	0.00	μB per formula unit

abc: 4.0140 2.6449 9.6249
angles: 90.00 90.00 90.00
With the nearest neighbours (Å) after each atom.
Space group Amm2 (No. 38)
One atom of each set of equivalent atoms:
Fe 0.0000 0.0000 0.0000  2 Tc 2.36, 5 Ru 2.50-2.60
Tc 0.5000 0.0000 0.1284  2 Fe 2.36, 7 Ru 2.58-2.63
Ru 0.0000 0.0000 0.7403  3 Fe 2.50-2.66, 4 Tc 2.63, 2 Ru 2.64
Ru 0.5000 0.0000 0.3966  3 Tc 2.58-2.59, 4 Fe 2.60, 6 Ru 2.64-2.84


[4]
Compound: Fe9Cu9S16
Source: Alexandria
Functional: meta-GGA SCAN
Structure: single point on PBEsol structure

## Properties
total DFT energy (no corrections)	-13.788	eV/atom
D(E_F)	0.261	states/eV/atom
total magnetic moment	2.58	μB per formula unit
formation energy from raw total energies	-0.4345	eV per atom

abc: 10.2657 10.2657 5.1727
angles: 90.00 90.00 90.00
With the nearest neighbours (Å) after each atom.
Space group P-42m (No. 111)
One atom of each set of equivalent atoms:
Fe 0.0000 0.0000 0.0000  4 S 2.19
Fe 0.0000 0.0000 0.5000  4 S 2.23
Fe 0.0000 0.5000 0.0000  4 S 2.18
Fe 0.2505 0.5000 0.5000  4 S 2.18-2.19
Fe 0.5000 0.5000 0.5000  4 S 2.22
Cu 0.0000 0.2559 0.5000  4 S 2.25-2.28
Cu 0.2510 0.2510 0.9791  4 S 2.22-2.30
Cu 0.5000 0.5000 0.0000  4 S 2.29
S 0.1232 0.1232 0.2433  2 Fe 2.19-2.23, 3 Cu 2.28-2.30
S 0.1256 0.3838 0.7510  2 Fe 2.18, 2 Cu 2.22-2.25
S 0.3726 0.3726 0.2625  3 Fe 2.19-2.22, 2 Cu 2.29


[5]
Compound: YScMn2
Source: Alexandria
Functional: meta-GGA SCAN
Structure: single point on PBEsol structure

## Properties
total DFT energy (no corrections)	-19.451	eV/atom
ΔE_f	196	meV per atom
D(E_F)	1.112	states/eV/atom
total magnetic moment	6.11	μB per formula unit

abc: 8.8152 3.0210 5.8717
angles: 90.00 98.63 90.00
With the nearest neighbours (Å) after each atom.
Space group C2/m (No. 12)
One atom of each set of equivalent atoms:
Y 0.0000 0.0000 0.0000  2 Y 3.02, 6 Mn 3.04-3.06, 4 Sc 3.30
Sc 0.0000 0.5000 0.5000  6 Mn 2.64-2.74
Mn 0.2463 0.0000 0.6890  3 Sc 2.64-2.74, 2 Mn 2.69


[6]
Compound: TaSiSe2
Source: Alexandria
Functional: meta-GGA SCAN
Structure: single point on PBEsol structure

## Properties
total DFT energy (no corrections)	-29.365	eV/atom
D(E_F)	0.464	states/eV/atom
total magnetic moment	0.00	μB per formula unit
formation energy from raw total energies	-0.1762	eV per atom

abc: 3.6309 3.6576 12.5720
angles: 90.00 90.00 90.00
With the nearest neighbours (Å) after each atom.
Space group Immm (No. 71)
One atom of each set of equivalent atoms:
Ta 0.0000 0.0000 0.0000  4 Si 2.58, 4 Se 2.66
Si 0.0000 0.0000 0.5000  4 Ta 2.58, 4 Se 2.66
Se 0.0000 0.5000 0.1542  2 Si 2.66, 2 Ta 2.66


[7]
Compound: TlFeTc2
Source: Alexandria
Functional: meta-GGA SCAN
Structure: single point on PBEsol structure

## Properties
offset from the most stable computed form	0.59	eV per formula unit
total DFT energy (no corrections)	-39.621	eV/atom
ΔE_f	531	meV per atom
D(E_F)	0.752	states/eV/atom
total magnetic moment	3.44	μB per formula unit

abc: 3.9187 3.9187 7.7504
angles: 90.00 90.00 90.00
With the nearest neighbours (Å) after each atom.
Space group I-4m2 (No. 119)
One atom of each set of equivalent atoms:
Tl 0.0000 0.0000 0.0000  4 Fe 2.76, 8 Tc 2.76-2.77
Fe 0.0000 0.5000 0.2500  4 Tl 2.76, 8 Tc 2.76-2.77
Tc 0.0000 0.0000 0.5000  4 Fe 2.76, 4 Tc 2.76, 4 Tl 2.77
Tc 0.0000 0.5000 0.7500  4 Tl 2.76, 4 Tc 2.76, 4 Fe 2.77


[8]
Compound: LiTiSiO4
Source: Alexandria
Functional: meta-GGA SCAN
Structure: single point on PBEsol structure

## Properties
offset from the most stable computed form	0.08	eV per formula unit
total DFT energy (no corrections)	-10.560	eV/atom
D(E_F)	0.024	states/eV/atom
total magnetic moment	1.00	μB per formula unit
formation energy from raw total energies	-2.9373	eV per atom

abc: 5.6659 5.6659 8.0863
angles: 90.00 90.00 90.00
With the nearest neighbours (Å) after each atom.
Space group P4_322 (No. 95)
One atom of each set of equivalent atoms:
Li 0.0000 0.2283 0.0000  6 O 1.97-2.17
Ti 0.2473 0.5000 0.2500  6 O 1.99-2.06
Si 0.2453 0.2453 0.6250  4 O 1.64-1.67
O 0.0061 0.2566 0.7398  1 Si 1.64
O 0.2552 0.4855 0.5049  1 Si 1.67


Question: Which formula does entry 6 have?
Answer: TaSiSe2


Question: total magnetic moment of number 1 (Nb3ZnIn)?
Answer: 0.00 μB per formula unit